ErTlAg2Br6 | GGA-PBE | optimized geometry

The value obtained for the total energy is -3.295 eV/atom. The calculation puts the density of states at the Fermi level at 0.00 states/eV/cell. The value obtained for the raw formation energy is -10.29 eV per formula unit.

The space group is R3 (No. 146, hexagonal axes) and the conventional cell measures 7.4005, 7.4005 and 20.4637 Å, with angles of 90.00, 90.00 and 120.00 degrees. The distinct sites, in fractional coordinates, are Er at (0.0000, 0.0000, 0.0000), Tl at (0.0000, 0.0000, 0.5188), Ag at (0.0000, 0.0000, 0.3323), Ag at (0.0000, 0.0000, 0.8126), Br at (0.0134, 0.3405, 0.7387) and Br at (0.0128, 0.6041, 0.5811).